Record 1
The following is a PBE calculation of a relaxed structure of Ca2GaSnPd6, from Alexandria.

Structure (CIF):
```
data_Ca2GaSnPd6
_chemical_formula_sum 'Ca2 Ga1 Sn1 Pd6'
_cell_length_a 5.690
_cell_length_b 7.837
_cell_length_c 5.696
_cell_angle_alpha 65.01
_cell_angle_beta 60.07
_cell_angle_gamma 83.38
_symmetry_space_group_name_H-M 'P 1'
_symmetry_Int_Tables_number 1
loop_
_symmetry_equiv_pos_as_xyz
'x,y,z'
loop_
_atom_site_label
_atom_site_fract_x
_atom_site_fract_y
_atom_site_fract_z
_atom_site_occupancy
Ca1 0.864 0.250 0.399 1
Ca2 0.136 0.750 0.601 1
Ga1 0.000 0.000 0.000 1
Sn1 0.500 0.500 0.000 1
Pd1 0.363 0.159 0.462 1
Pd2 0.622 0.824 0.042 1
Pd3 0.048 0.655 0.211 1
Pd4 0.952 0.345 0.789 1
Pd5 0.378 0.176 0.958 1
Pd6 0.637 0.841 0.538 1
```

Values from the calculation:
- Total magnetic moment: 0.000 μB per formula unit
- Density: 7607 kg/m3
- DFT formation energy: -558 meV/atom


Record 2
The following is a PBE calculation of a relaxed structure of SrCaGa2Pd5, from Alexandria.

Structure (CIF):
```
data_SrCaGa2Pd5
_chemical_formula_sum 'Sr1 Ca1 Ga2 Pd5'
_cell_length_a 4.320
_cell_length_b 4.320
_cell_length_c 9.288
_cell_angle_alpha 90.00
_cell_angle_beta 90.00
_cell_angle_gamma 90.00
_symmetry_space_group_name_H-M 'P 1'
_symmetry_Int_Tables_number 1
loop_
_symmetry_equiv_pos_as_xyz
'x,y,z'
loop_
_atom_site_label
_atom_site_fract_x
_atom_site_fract_y
_atom_site_fract_z
_atom_site_occupancy
Sr1 0.000 0.000 0.500 1
Ca1 0.000 0.000 0.000 1
Ga1 0.500 0.500 0.138 1
Ga2 0.500 0.500 0.862 1
Pd1 0.000 0.500 0.268 1
Pd2 0.500 0.000 0.268 1
Pd3 0.000 0.500 0.732 1
Pd4 0.500 0.000 0.732 1
Pd5 0.500 0.500 0.500 1
```

Values from the calculation:
- Total magnetic moment: 0.000 μB per formula unit
- Density: 7657 kg/m3
- DFT formation energy: -624 meV/atom


Record 3
The following is a PBE calculation of a relaxed structure of CaTbGa2Pd5, from Alexandria.

Structure (CIF):
```
data_CaTbGa2Pd5
_chemical_formula_sum 'Ca1 Tb1 Ga2 Pd5'
_cell_length_a 4.253
_cell_length_b 4.253
_cell_length_c 9.107
_cell_angle_alpha 90.00
_cell_angle_beta 90.00
_cell_angle_gamma 90.00
_symmetry_space_group_name_H-M 'P 1'
_symmetry_Int_Tables_number 1
loop_
_symmetry_equiv_pos_as_xyz
'x,y,z'
loop_
_atom_site_label
_atom_site_fract_x
_atom_site_fract_y
_atom_site_fract_z
_atom_site_occupancy
Ca1 0.000 0.000 0.500 1
Tb1 0.000 0.000 0.000 1
Ga1 0.500 0.500 0.136 1
Ga2 0.500 0.500 0.864 1
Pd1 0.000 0.500 0.273 1
Pd2 0.500 0.000 0.273 1
Pd3 0.000 0.500 0.727 1
Pd4 0.500 0.000 0.727 1
Pd5 0.500 0.500 0.500 1
```

Values from the calculation:
- Total magnetic moment: 0.000 μB per formula unit
- Density: 8775 kg/m3
- DFT formation energy: -709 meV/atom


Record 4
The following is a PBE calculation of a relaxed structure of CaTbGaPd, from Alexandria.

Structure (CIF):
```
data_CaTbGaPd
_chemical_formula_sum 'Ca1 Tb1 Ga1 Pd1'
_cell_length_a 5.052
_cell_length_b 5.052
_cell_length_c 5.052
_cell_angle_alpha 60.00
_cell_angle_beta 60.00
_cell_angle_gamma 60.00
_symmetry_space_group_name_H-M 'P 1'
_symmetry_Int_Tables_number 1
loop_
_symmetry_equiv_pos_as_xyz
'x,y,z'
loop_
_atom_site_label
_atom_site_fract_x
_atom_site_fract_y
_atom_site_fract_z
_atom_site_occupancy
Ca1 0.000 0.000 0.000 1
Tb1 0.500 0.500 0.500 1
Ga1 0.250 0.250 0.250 1
Pd1 0.750 0.750 0.750 1
```

Values from the calculation:
- Total magnetic moment: 0.000 μB per formula unit
- Density: 6830 kg/m3
- DFT formation energy: -613 meV/atom


Record 5
The following is a PBE calculation of a relaxed structure of CaTbGaPd, from Alexandria.

Structure (CIF):
```
data_CaTbGaPd
_chemical_formula_sum 'Ca1 Tb1 Ga1 Pd1'
_cell_length_a 3.906
_cell_length_b 4.428
_cell_length_c 5.895
_cell_angle_alpha 90.00
_cell_angle_beta 109.35
_cell_angle_gamma 90.00
_symmetry_space_group_name_H-M 'P 1'
_symmetry_Int_Tables_number 1
loop_
_symmetry_equiv_pos_as_xyz
'x,y,z'
loop_
_atom_site_label
_atom_site_fract_x
_atom_site_fract_y
_atom_site_fract_z
_atom_site_occupancy
Ca1 0.146 0.000 0.291 1
Tb1 0.858 0.500 0.716 1
Ga1 0.570 0.500 0.140 1
Pd1 0.427 0.000 0.853 1
```

Values from the calculation:
- Total magnetic moment: 0.000 μB per formula unit
- Density: 6476 kg/m3
- DFT formation energy: -638 meV/atom


Record 6
The following is a PBE calculation of a relaxed structure of CaGa2TePd, from Alexandria.

Structure (CIF):
```
data_CaGa2TePd
_chemical_formula_sum 'Ca1 Ga2 Te1 Pd1'
_cell_length_a 5.476
_cell_length_b 5.753
_cell_length_c 5.476
_cell_angle_alpha 90.00
_cell_angle_beta 90.00
_cell_angle_gamma 90.00
_symmetry_space_group_name_H-M 'P 1'
_symmetry_Int_Tables_number 1
loop_
_symmetry_equiv_pos_as_xyz
'x,y,z'
loop_
_atom_site_label
_atom_site_fract_x
_atom_site_fract_y
_atom_site_fract_z
_atom_site_occupancy
Ca1 0.000 0.500 0.000 1
Te1 0.000 0.000 0.000 1
Ga1 0.000 0.000 0.500 1
Ga2 0.500 0.000 0.000 1
Pd1 0.500 0.500 0.500 1
```

Values from the calculation:
- Total magnetic moment: 0.000 μB per formula unit
- Density: 3980 kg/m3
- E: -0.208 Ry/atom